[1]
11
Lattice="4.0174 -0.0038 0.0003 -0.0008 4.1485 -0.0037 -2.0012 -2.0752 12.2392" Properties=species:S:1:pos:R:3 comment="Tb3Cu4Ge4 PBE relaxed" delta_e_f_mev_per_atom=-599 energy_ev_per_cell=-55.3 pbc="T T T"
Cu 2.0056 0.0019 2.3403
Cu 0.0049 -0.0015 6.1461
Cu 2.0104 2.0708 6.0897
Cu 0.0097 2.0673 9.8956
Ge 0.0019 2.0727 7.5251
Ge 2.0134 -0.0035 4.7108
Ge 2.0100 2.0746 1.2489
Ge 0.0053 -0.0053 10.9869
Tb 2.0091 -0.0029 8.5533
Tb 0.0062 2.0722 3.6825
Tb 4.0165 4.1446 -0.0034

[2]
13
Lattice="5.7294 0.2853 2.1517 2.9903 8.5306 2.3896 0.7830 1.2967 9.2265" Properties=species:S:1:pos:R:3 comment="Tl5SnPb7 PBE relaxed" delta_e_f_mev_per_atom=47 energy_ev_per_cell=-41.2 pbc="T T T"
Pb 3.8806 3.8427 5.3187
Pb 7.9012 6.9410 7.2851
Pb 3.6899 1.5404 2.8211
Pb 5.7333 6.8159 4.7718
Pb 4.4873 2.7327 8.6310
Pb 7.1434 4.4574 9.6323
Pb 4.6090 6.0128 7.8499
Sn 0.9002 0.0685 0.3631
Tl 7.5555 7.8679 10.7641
Tl 5.2853 9.3998 8.6847
Tl 4.4237 6.5762 11.3534
Tl 6.7928 3.6757 3.6024
Tl 6.0727 1.3159 5.8327

[3]
4
Lattice="-3.3392 -1.2789 -2.3432 -3.3765 -1.8082 1.8989 -6.5644 8.2208 0.9679" Properties=species:S:1:pos:R:3 comment="BaCeNd2 PBE relaxed" delta_e_f_mev_per_atom=688 polymorph_energy_mev_per_atom=547 energy_ev_per_cell=-14.6 pbc="T T T"
Nd -5.0474 4.9770 0.5766
Nd -8.2327 0.1567 -0.0529
Ce -6.6401 2.5669 0.2618
Ba 0.0000 0.0000 0.0000

[4]
13
Lattice="-2.4245 5.6797 -0.3074 -5.5626 -2.3432 0.5777 3.4845 0.8608 5.2216" Properties=species:S:1:pos:R:3 comment="Pb2Au3O8 PBE relaxed" formation_energy_uncorrected_ev_per_atom=-0.348 energy_ev_per_cell=-61.4 pbc="T T T"
Pb -0.4183 1.7105 2.9097
Pb -4.0842 2.4868 2.5822
O -2.3179 2.1895 4.0863
O -2.2666 -1.3671 4.4515
O 0.7455 3.4799 3.7682
O -4.9889 4.3225 1.3161
O -5.2480 0.7174 1.7237
O -2.2359 5.5643 1.0404
O 0.4864 -0.1252 4.1758
O -2.1846 2.0078 1.4056
Au -1.3906 -0.5858 0.1444
Au -4.1720 -1.7574 0.4333
Au -1.2122 2.8398 -0.1537

[5]
8
Lattice="3.7613 0.1900 -0.3433 -0.7562 8.0915 -3.8062 0.8526 -0.6825 8.9587" Properties=species:S:1:pos:R:3 comment="Pr5Er2Cd PBE relaxed" delta_e_f_mev_per_atom=-47 energy_ev_per_cell=-34.3 pbc="T T T"
Pr 1.8312 2.6956 0.7199
Pr 2.4505 0.3661 6.2236
Pr -0.3781 4.0458 -1.9031
Pr 1.4072 7.2329 -1.4144
Pr 2.0265 4.9034 4.0893
Er -0.1598 5.5811 1.3176
Er 4.0175 2.0179 3.4916
Cd 0.0000 0.0000 0.0000

[6]
7
Lattice="-6.5658 -1.5177 1.4498 2.0983 -4.8609 4.4140 0.0273 2.5126 2.7539" Properties=species:S:1:pos:R:3 comment="UCu2Se4 PBE relaxed" formation_energy_uncorrected_ev_per_atom=-0.489 energy_ev_per_cell=-36.8 pbc="T T T"
Se -3.4279 -3.6581 5.8936
Se -1.0122 -0.2091 2.7229
Se -4.5625 -1.0285 3.5081
Se 0.1223 -2.8363 5.1109
Cu 1.0628 -1.1742 3.5840
Cu -3.2692 0.4974 2.1019
U 0.0000 0.0000 0.0000